The following is a DFT calculation (PBE) of Zr5BeOs4 after structural relaxation.

Geometry as POSCAR:
```
Zr5BeOs4
1.0
3.276 0.000 0.000
0.000 3.276 0.000
0.000 0.000 16.270
Zr Be Os
5 1 4
Direct
0.000 0.000 0.000
0.000 0.000 0.203
0.000 0.000 0.405
0.000 0.000 0.595
0.000 0.000 0.797
0.500 0.500 0.500
0.500 0.500 0.102
0.500 0.500 0.306
0.500 0.500 0.694
0.500 0.500 0.898
```

Results
- calculated total energy (eV per atom) = -9.589
- energy relative to the elements (eV/atom) = -0.45
- total magnetic moment (μB/cell) = 0.0